w:
ZnAsSe2, optimized geometry, DFT PBE; SG = R-3m, No. 166; ρ = 5.90 g cm⁻³
1.0
6.7097 -0.0229 -0.0140
5.5794 3.7270 -0.0140
5.5794 1.6817 3.3261
Se Zn As
2 1 1
direct
0.5009 0.5009 0.5009 Se
0.9991 0.9991 0.9991 Se
0.2500 0.2500 0.2500 Zn
0.7500 0.7500 0.7500 As

---

x:
ZnAsSe2, optimized geometry, DFT PBE; SG = I-4m2, No. 119; ρ = 4.34 g cm⁻³
1.0
-3.3544 -7.9127 2.5073
1.0457 -8.8913 0.0000
2.4546 8.5549 0.9684
Se Zn As
2 1 1
direct
0.0000 0.0000 0.0000 Se
0.2500 0.7500 0.5000 Se
0.5000 0.5000 0.0000 Zn
0.7500 0.2500 0.5000 As

---

y:
ZnAsSe2, optimized geometry, DFT PBE; SG = Fm-3m, No. 225; ρ = 6.38 g cm⁻³
1.0
0.0000 3.3864 3.3864
3.3864 0.0000 3.3864
3.3864 3.3864 0.0000
Se As Zn
2 1 1
direct
0.2500 0.2500 0.2500 Se
0.7500 0.7500 0.7500 Se
0.5000 0.5000 0.5000 As
0.0000 0.0000 0.0000 Zn

---

Calculated relative energies: w 0; x 221; y 401, given in meV per atom

---

w:
ZnAsSe2, optimized geometry, DFT PBE; SG = P4mm, No. 99; ρ = 5.85 g cm⁻³
1.0
3.9213 0.0000 0.0000
0.0000 3.9213 0.0000
0.0000 0.0000 5.5063
Se Zn As
2 1 1
direct
0.5000 0.5000 0.4045 Se
0.0000 0.0000 0.8805 Se
0.0000 0.0000 0.3613 Zn
0.5000 0.5000 0.8538 As

---

x:
ZnAsSe2, optimized geometry, DFT PBE; SG = P4/mmm, No. 123; ρ = 6.41 g cm⁻³
1.0
4.7672 0.0080 0.0000
-0.0109 4.7672 0.0000
0.0000 0.0000 3.3971
As Se Zn
1 2 1
direct
0.0000 0.5000 0.5000 As
0.0000 0.0000 0.0000 Se
0.5000 0.5000 0.0000 Se
0.5000 0.0000 0.5000 Zn

---

Calculated relative energies: w 0; x 413, given in meV per atom

---

w:
ZrAs3Se, optimized geometry, DFT PBE; SG = Pm-3m, No. 221; ρ = 4.71 g cm⁻³
1.0
-4.1347 0.0311 3.1243
-0.4042 -5.1440 -0.4837
3.0982 -0.6296 4.1064
As Zr Se
3 1 1
direct
0.5000 0.0000 0.0000 As
0.0000 0.5000 0.0000 As
0.0000 0.0000 0.5000 As
0.0000 0.0000 0.0000 Zr
0.5000 0.5000 0.5000 Se

---

x:
ZrAs3Se, optimized geometry, DFT PBE; SG = Pm-3m, No. 221; ρ = 5.57 g cm⁻³
1.0
-4.3564 -1.3606 1.7860
0.3460 -4.2589 -2.4004
2.2184 -2.0076 3.8818
Se As Zr
1 3 1
direct
0.0000 0.0000 0.0000 Se
0.0000 0.5000 0.0000 As
0.5000 0.0000 0.0000 As
0.0000 0.0000 0.5000 As
0.5000 0.5000 0.5000 Zr

---

Calculated relative energies: w 0; x 149, given in meV per atom

---

w:
ZrAsSe3, optimized geometry, DFT PBE; SG = Pm-3m, No. 221; ρ = 4.70 g cm⁻³
1.0
-0.2180 3.4693 3.8954
0.8299 -3.8260 3.4540
5.1499 0.7634 -0.3917
Se As Zr
3 1 1
direct
0.0000 0.5000 0.0000 Se
0.5000 0.0000 0.0000 Se
0.0000 0.0000 0.5000 Se
0.5000 0.5000 0.5000 As
0.0000 0.0000 0.0000 Zr

---

x:
ZrAsSe3, optimized geometry, DFT PBE; SG = Pm-3m, No. 221; ρ = 5.57 g cm⁻³
1.0
4.9336 0.0000 0.0000
0.0000 4.9336 0.0000
0.0000 0.0000 4.9336
As Zr Se
1 1 3
direct
0.0000 0.0000 0.0000 As
0.5000 0.5000 0.5000 Zr
0.5000 0.0000 0.0000 Se
0.0000 0.5000 0.0000 Se
0.0000 0.0000 0.5000 Se

---

Calculated relative energies: w 0; x 265, given in meV per atom

---

w:
Si3As, optimized geometry, DFT PBE; SG = R-3m, No. 166; ρ = 4.12 g cm⁻³
1.0
5.1104 0.0326 0.1107
-2.3051 4.5611 0.1107
-2.3051 -3.7746 2.5629
As Si
1 3
direct
0.0000 0.0000 0.0000 As
0.5000 0.0000 0.5000 Si
0.5000 0.5000 0.0000 Si
0.0000 0.5000 0.5000 Si

---

x:
Si3As, optimized geometry, DFT PBE; SG = P2/m, No. 10; ρ = 3.83 g cm⁻³
1.0
3.6978 0.0000 0.0000
0.0000 2.5468 0.3501
0.0000 1.6630 7.5527
Si As
3 1
direct
0.0000 0.5000 0.5000 Si
0.5000 0.7333 0.2618 Si
0.5000 0.2667 0.7382 Si
0.0000 0.0000 0.0000 As

---

y:
Si3As, optimized geometry, DFT PBE; SG = Cmmm, No. 65; ρ = 4.15 g cm⁻³
1.0
2.7303 0.0271 0.0000
-0.8418 2.5974 0.0000
0.0000 0.0000 8.9585
Si As
3 1
direct
0.0000 0.0000 0.5000 Si
0.5000 0.5000 0.2687 Si
0.5000 0.5000 0.7313 Si
0.0000 0.0000 0.0000 As

---

Calculated relative energies: w 256; x 0; y 236, given in meV per atom

---

w:
SiAs2, optimized geometry, DFT PBE; SG = C2/m, No. 12; ρ = 3.72 g cm⁻³
1.0
-3.5272 5.6954 -0.7819
-4.9490 3.3004 -3.1789
-5.8910 -0.4083 3.9021
Si As
2 4
direct
0.6742 0.6742 0.6875 Si
0.2703 0.2703 0.9236 Si
0.0862 0.0862 0.9016 As
0.8582 0.8582 0.7095 As
0.2925 0.2925 0.2475 As
0.6520 0.6520 0.3636 As

---

x:
SiAs2, optimized geometry, DFT PBE; SG = P4/mmm, No. 123; ρ = 4.86 g cm⁻³
1.0
4.0815 0.0000 0.0000
0.0000 4.0815 0.0000
0.0000 0.0000 3.6472
As Si
2 1
direct
0.0000 0.5000 0.5000 As
0.5000 0.0000 0.5000 As
0.0000 0.0000 0.0000 Si

---

y:
SiAs2, optimized geometry, DFT PBE; SG = Pa-3, No. 205; ρ = 5.18 g cm⁻³
1.0
6.1124 0.0000 0.0000
0.0000 6.1124 0.0000
0.0000 0.0000 6.1124
As Si
8 4
direct
0.3846 0.3846 0.3846 As
0.8846 0.1154 0.6154 As
0.8846 0.3846 0.1154 As
0.6154 0.8846 0.1154 As
0.1154 0.8846 0.3846 As
0.1154 0.6154 0.8846 As
0.6154 0.6154 0.6154 As
0.3846 0.1154 0.8846 As
0.0000 0.5000 0.5000 Si
0.5000 0.0000 0.5000 Si
0.5000 0.5000 0.0000 Si
0.0000 0.0000 0.0000 Si

---

z:
SiAs2, optimized geometry, DFT PBE; SG = I4/mmm, No. 139; ρ = 5.23 g cm⁻³
1.0
-3.1317 -2.1010 6.7109
-0.5246 -4.8861 5.9253
3.1938 4.5030 -5.3648
Si As
1 2
direct
0.5000 0.5000 0.0000 Si
0.1483 0.1483 0.0000 As
0.8517 0.8517 0.0000 As

---

Calculated relative energies: w 0; x 427; y 50; z 512, given in meV per atom

---

w:
SiAs2, optimized geometry, DFT PBE; SG = P-62m, No. 189; ρ = 5.26 g cm⁻³
1.0
0.4099 6.4057 3.9528
-6.6421 -3.4451 -0.9163
0.5396 -1.8023 2.8648
Si As
3 6
direct
0.0000 0.0000 0.5000 Si
0.6667 0.3333 0.0000 Si
0.3333 0.6667 0.0000 Si
0.7331 0.7331 0.0000 As
0.0000 0.5415 0.5000 As
0.5415 0.0000 0.5000 As
0.4585 0.4585 0.5000 As
0.2669 0.0000 0.0000 As
0.0000 0.2669 0.0000 As

---

x:
SiAs2, optimized geometry, DFT PBE; SG = Pnma, No. 62; ρ = 3.73 g cm⁻³
1.0
-0.6213 0.8757 3.5161
4.6810 -4.8506 2.0351
8.9109 8.3839 -0.5134
As Si
8 4
direct
0.2500 0.9856 0.4299 As
0.2500 0.4856 0.0701 As
0.2500 0.0155 0.8640 As
0.7500 0.9845 0.1360 As
0.7500 0.4845 0.3640 As
0.2500 0.5155 0.6360 As
0.7500 0.0144 0.5701 As
0.7500 0.5144 0.9299 As
0.2500 0.1460 0.0486 Si
0.2500 0.6460 0.4514 Si
0.7500 0.3540 0.5486 Si
0.7500 0.8540 0.9514 Si

---

y:
SiAs2, optimized geometry, DFT PBE; SG = P-3m1, No. 164; ρ = 5.26 g cm⁻³
1.0
-3.3576 -1.4827 -0.7769
2.0879 -1.4322 2.7686
-1.9730 2.9018 2.9891
As Si
2 1
direct
0.6667 0.3333 0.6956 As
0.3333 0.6667 0.3044 As
0.0000 0.0000 0.0000 Si

---

Calculated relative energies: w 466; x 0; y 153, given in meV per atom

---

w:
SiAs3, optimized geometry, DFT PBE; SG = P2/m, No. 10; ρ = 5.48 g cm⁻³
1.0
3.7244 0.0000 0.0000
0.0000 2.6665 -0.4554
0.0000 -1.3423 7.9432
As Si
3 1
direct
0.0000 0.0077 0.0129 As
0.5000 0.7500 0.7500 As
0.0000 0.4923 0.4871 As
0.5000 0.2500 0.2500 Si

---

x:
SiAs3, optimized geometry, DFT PBE; SG = P-6m2, No. 187; ρ = 5.62 g cm⁻³
1.0
-2.3071 -1.2609 -1.1114
2.0354 -1.5780 1.2308
-4.9602 0.8663 9.3137
As Si
3 1
direct
0.0000 0.0000 0.9829 As
0.0000 0.0000 0.5171 As
0.6667 0.3333 0.2500 As
0.6667 0.3333 0.7500 Si

---

y:
SiAs3, optimized geometry, DFT PBE; SG = P6_3/mmc, No. 194; ρ = 3.38 g cm⁻³
1.0
-2.1176 1.1512 7.8498
-1.5384 -7.1902 -3.6554
3.8108 -1.4458 1.2400
As Si
6 2
direct
0.2313 0.4626 0.2500 As
0.2313 0.7687 0.2500 As
0.7687 0.5374 0.7500 As
0.4626 0.2313 0.7500 As
0.7687 0.2313 0.7500 As
0.5374 0.7687 0.2500 As
0.6667 0.3333 0.2500 Si
0.3333 0.6667 0.7500 Si

---

Calculated relative energies: w 0; x 350; y 182, given in meV per atom

---

w:
SiAs3, optimized geometry, DFT PBE; SG = P6_3/mmc, No. 194; ρ = 5.36 g cm⁻³
1.0
-1.7083 5.1347 -2.4643
-3.1398 -2.3401 4.4745
2.8753 2.5700 3.3617
As Si
6 2
direct
0.3733 0.1866 0.7500 As
0.6267 0.8134 0.2500 As
0.1866 0.3733 0.2500 As
0.8134 0.6267 0.7500 As
0.8134 0.1866 0.7500 As
0.1866 0.8134 0.2500 As
0.3333 0.6667 0.7500 Si
0.6667 0.3333 0.2500 Si

---

x:
SiAs3, optimized geometry, DFT PBE; SG = Fm-3m, No. 225; ρ = 5.81 g cm⁻³
1.0
-0.4842 4.6515 -0.0811
-0.8034 -0.1541 -4.6052
-2.5931 -2.5756 2.9188
As Si
3 1
direct
0.2500 0.7500 0.5000 As
0.7500 0.2500 0.5000 As
0.5000 0.5000 0.0000 As
0.0000 0.0000 0.0000 Si

---

y:
SiAs3, optimized geometry, DFT PBE; SG = R-3m, No. 166; ρ = 5.51 g cm⁻³
1.0
6.6261 0.0308 0.0189
5.5495 3.6207 0.0189
5.5495 1.6643 3.2156
Si As
1 3
direct
0.0000 0.0000 0.0000 Si
0.5000 0.5000 0.5000 As
0.2556 0.2556 0.2556 As
0.7444 0.7444 0.7444 As

---

Calculated relative energies: w 381; x 368; y 0, given in meV per atom

---

w:
SiAs3, optimized geometry, DFT PBE; SG = Immm, No. 71; ρ = 5.38 g cm⁻³
1.0
5.9212 0.0249 -0.0305
3.3367 4.8916 0.0305
-4.3644 -2.9564 2.6970
As Si
3 1
direct
0.0000 0.5000 0.5000 As
0.3181 0.3181 0.0000 As
0.6819 0.6819 0.0000 As
0.5000 0.0000 0.5000 Si

---

x:
SiAs3, optimized geometry, DFT PBE; SG = R-3m, No. 166; ρ = 5.78 g cm⁻³
1.0
-3.3299 1.1371 4.1666
-1.1325 -4.4678 -2.9151
5.2674 1.2615 0.6361
As Si
3 1
direct
0.0000 0.0000 0.0000 As
0.5000 0.0000 0.5000 As
0.0000 0.5000 0.5000 As
0.5000 0.5000 0.0000 Si

---

Calculated relative energies: w 0; x 142, given in meV per atom